1.
ReBi2O8: optimized geometry, PBE.

The calculation puts the size of the total moment at 0.0 μB per cell. The calculation puts the total energy at -6.204 eV per atom. The value obtained for the density of states at the Fermi level is 0.47 states/eV per atom.

Lattice parameters (Å, degrees): 7.993 7.993 5.515 102.24 102.24 26.11
Fractional coordinates of all 11 atoms:
1 Re 0.000 0.000 0.000
2 Bi 0.337 0.337 0.412
3 Bi 0.663 0.663 0.588
4 O 0.086 0.086 0.363
5 O 0.097 0.097 0.868
6 O 0.255 0.255 0.693
7 O 0.467 0.467 0.834
8 O 0.533 0.533 0.166
9 O 0.745 0.745 0.307
10 O 0.903 0.903 0.132
11 O 0.914 0.914 0.637


2.
Re3BiO: optimized geometry, PBE.

The calculation puts the size of the total moment at 1.7 μB per cell. The calculation puts the total energy at -8.229 eV per atom. The value obtained for the density of states at the Fermi level is 1.39 states/eV per atom.

Lattice parameters (Å, degrees): 4.266 4.266 4.266 90.00 90.00 90.00
Fractional coordinates of all 5 atoms:
1 Re 0.000 0.000 0.500
2 Re 0.000 0.500 0.000
3 Re 0.500 0.000 0.000
4 Bi 0.500 0.500 0.500
5 O 0.000 0.000 0.000


3.
ScReBiO6: optimized geometry, PBE.

The calculation puts the size of the total moment at 0.7 μB per cell. The calculation puts the total energy at -7.813 eV per atom. The value obtained for the density of states at the Fermi level is 0.38 states/eV per atom.

Lattice parameters (Å, degrees): 5.341 5.341 4.958 90.00 90.00 120.00
Fractional coordinates of all 9 atoms:
1 Sc 0.000 0.000 0.000
2 Re 0.333 0.667 0.000
3 Bi 0.667 0.333 0.500
4 O 0.043 0.357 0.220
5 O 0.043 0.686 0.780
6 O 0.314 0.357 0.780
7 O 0.314 0.957 0.220
8 O 0.643 0.686 0.220
9 O 0.643 0.957 0.780


4.
ScReBi2O8: optimized geometry, PBE.

The calculation puts the size of the total moment at 0.0 μB per cell. The calculation puts the total energy at -7.259 eV per atom.

Lattice parameters (Å, degrees): 5.151 6.569 5.161 90.00 90.53 90.00
Fractional coordinates of all 12 atoms:
1 Sc 0.000 0.000 0.000
2 Re 0.000 0.500 0.000
3 Bi 0.500 0.248 0.500
4 Bi 0.500 0.752 0.500
5 O 0.177 0.278 0.828
6 O 0.177 0.722 0.828
7 O 0.253 0.500 0.260
8 O 0.287 0.000 0.291
9 O 0.713 0.000 0.709
10 O 0.747 0.500 0.740
11 O 0.823 0.278 0.172
12 O 0.823 0.722 0.172


Number 1: uncorrected formation energy -760 meV per atom. Number 2: uncorrected formation energy 1007 meV per atom. Number 3: uncorrected formation energy -1989 meV per atom. Number 4: uncorrected formation energy -1742 meV per atom.